Entry 1:
DyTaC2 PBE-GGA relaxed; SG = R-3m; size of the total moment = 0.00 μB per formula unit; polymorph energy (0 for the lowest one) = 0.000 eV/atom; energy of formation = -492.6 meV per atom
1.0
3.306 0.000 0.000
-1.653 2.863 0.000
0.000 0.000 16.778
Dy Ta C
3 3 6
Direct
0.000 0.000 0.000 Dy
0.333 0.667 0.667 Dy
0.667 0.333 0.333 Dy
0.000 0.000 0.500 Ta
0.333 0.667 0.167 Ta
0.667 0.333 0.833 Ta
0.000 0.000 0.239 C
0.000 0.000 0.761 C
0.333 0.667 0.428 C
0.333 0.667 0.906 C
0.667 0.333 0.094 C
0.667 0.333 0.572 C


Entry 2:
DyTaC PBE-GGA relaxed; SG = R3; size of the total moment = 0.00 μB per formula unit; energy of formation = -170.5 meV per atom
1.0
2.865 1.654 5.460
-2.865 1.654 5.460
0.000 -3.308 5.460
Dy Ta C
3 3 3
Direct
0.011 0.661 0.329 Dy
0.329 0.011 0.661 Dy
0.661 0.329 0.011 Dy
0.170 0.504 0.837 Ta
0.504 0.837 0.170 Ta
0.837 0.170 0.504 Ta
0.233 0.233 0.233 C
0.433 0.433 0.433 C
0.901 0.901 0.901 C


Entry 3:
DyTaC2 PBE-GGA relaxed; SG = R3m; size of the total moment = 0.00 μB per formula unit; polymorph energy (0 for the lowest one) = 0.249 eV/atom; energy of formation = -243.7 meV per atom
1.0
3.269 0.000 0.000
-1.635 2.831 0.000
0.000 0.000 17.498
Dy Ta C
3 3 6
Direct
0.000 0.000 0.000 Dy
0.333 0.667 0.667 Dy
0.667 0.333 0.333 Dy
0.000 0.000 0.174 Ta
0.333 0.667 0.841 Ta
0.667 0.333 0.507 Ta
0.000 0.000 0.577 C
0.000 0.000 0.768 C
0.333 0.667 0.243 C
0.333 0.667 0.435 C
0.667 0.333 0.101 C
0.667 0.333 0.910 C


Entry 4:
Dy2Ta2C3 PBE-GGA relaxed; SG = C2/m; size of the total moment = 0.00 μB per formula unit; energy of formation = -487.9 meV per atom
1.0
11.735 0.000 0.000
0.000 3.396 0.000
-1.844 0.000 5.495
Dy Ta C
4 4 6
Direct
0.111 0.000 0.336 Dy
0.389 0.500 0.664 Dy
0.611 0.500 0.336 Dy
0.889 0.000 0.664 Dy
0.148 0.500 0.835 Ta
0.352 0.000 0.165 Ta
0.648 0.000 0.835 Ta
0.852 0.500 0.165 Ta
0.000 0.500 0.500 C
0.246 0.000 0.770 C
0.254 0.500 0.230 C
0.500 0.000 0.500 C
0.746 0.500 0.770 C
0.754 0.000 0.230 C


Entry 5:
DyTaC2 PBE-GGA relaxed; SG = Pnma; size of the total moment = 0.00 μB per formula unit; polymorph energy (0 for the lowest one) = 0.035 eV/atom; energy of formation = -457.6 meV per atom
1.0
5.745 0.000 0.000
0.000 3.500 0.000
0.000 0.000 11.090
Dy Ta C
4 4 8
Direct
0.085 0.250 0.140 Dy
0.415 0.750 0.640 Dy
0.585 0.250 0.360 Dy
0.915 0.750 0.860 Dy
0.094 0.750 0.393 Ta
0.406 0.250 0.893 Ta
0.594 0.750 0.107 Ta
0.906 0.250 0.607 Ta
0.150 0.250 0.752 C
0.222 0.250 0.484 C
0.278 0.750 0.984 C
0.350 0.750 0.252 C
0.650 0.250 0.748 C
0.722 0.250 0.016 C
0.778 0.750 0.516 C
0.850 0.750 0.248 C


Entry 6:
DyTh2TaC4 PBE-GGA relaxed; SG = Imma; size of the total moment = 0.00 μB per formula unit; energy of formation = -252.9 meV per atom
1.0
-3.527 3.591 5.056
3.527 -3.591 5.056
3.527 3.591 -5.056
Dy Th Ta C
2 4 2 8
Direct
0.000 0.000 0.000 Dy
0.500 0.000 0.500 Dy
0.000 0.500 0.500 Th
0.500 0.000 0.000 Th
0.500 0.500 0.000 Th
0.500 0.500 0.500 Th
0.000 0.000 0.500 Ta
0.000 0.500 0.000 Ta
0.219 0.248 0.971 C
0.224 0.752 0.471 C
0.229 0.229 0.500 C
0.229 0.729 0.000 C
0.771 0.271 0.000 C
0.771 0.771 0.500 C
0.776 0.248 0.529 C
0.781 0.752 0.029 C


Entry 7:
Dy2UTaC4 PBE-GGA relaxed; SG = Imma; size of the total moment = 0.00 μB per formula unit; energy of formation = -404.3 meV per atom
1.0
-3.405 3.490 4.858
3.405 -3.490 4.858
3.405 3.490 -4.858
Dy U Ta C
4 2 2 8
Direct
0.000 0.000 0.000 Dy
0.500 0.000 0.000 Dy
0.500 0.000 0.500 Dy
0.500 0.500 0.500 Dy
0.000 0.500 0.500 U
0.500 0.500 0.000 U
0.000 0.000 0.500 Ta
0.000 0.500 0.000 Ta
0.215 0.741 0.475 C
0.233 0.255 0.522 C
0.233 0.711 0.978 C
0.234 0.259 0.975 C
0.766 0.741 0.025 C
0.767 0.289 0.022 C
0.767 0.745 0.478 C
0.785 0.259 0.525 C


Entry 8:
DyU2TaC4 PBE-GGA relaxed; SG = Imma; size of the total moment = 0.32 μB per formula unit; energy of formation = -331.6 meV per atom
1.0
-3.371 3.459 4.870
3.371 -3.459 4.870
3.371 3.459 -4.870
Dy U Ta C
2 4 2 8
Direct
0.000 0.000 0.000 Dy
0.500 0.000 0.500 Dy
0.000 0.500 0.500 U
0.500 0.000 0.000 U
0.500 0.500 0.000 U
0.500 0.500 0.500 U
0.000 0.000 0.500 Ta
0.000 0.500 0.000 Ta
0.231 0.746 0.485 C
0.239 0.258 0.519 C
0.239 0.720 0.981 C
0.240 0.254 0.985 C
0.760 0.746 0.015 C
0.761 0.280 0.019 C
0.761 0.742 0.481 C
0.769 0.254 0.515 C


Entry 9:
Tb2DyC PBE-GGA relaxed; SG = R-3m; size of the total moment = 0.00 μB per formula unit; energy of formation = -53.0 meV per atom
1.0
3.540 0.000 0.000
-1.770 3.066 0.000
0.000 0.000 29.091
Tb Dy C
6 3 3
Direct
0.000 0.000 0.120 Tb
0.000 0.000 0.880 Tb
0.333 0.667 0.547 Tb
0.333 0.667 0.787 Tb
0.667 0.333 0.213 Tb
0.667 0.333 0.453 Tb
0.000 0.000 0.000 Dy
0.333 0.667 0.667 Dy
0.667 0.333 0.333 Dy
0.000 0.000 0.500 C
0.333 0.667 0.167 C
0.667 0.333 0.833 C


Entry 10:
Tb3DyC2 PBE-GGA relaxed; SG = P-3m1; size of the total moment = 0.21 μB per formula unit; energy of formation = -244.8 meV per atom
1.0
7.156 0.000 0.000
-3.578 6.197 0.000
0.000 0.000 6.327
Tb Dy C
6 2 4
Direct
0.167 0.333 0.216 Tb
0.167 0.833 0.216 Tb
0.333 0.167 0.784 Tb
0.667 0.833 0.216 Tb
0.833 0.167 0.784 Tb
0.833 0.667 0.784 Tb
0.333 0.667 0.787 Dy
0.667 0.333 0.213 Dy
0.000 0.000 0.000 C
0.000 0.500 0.000 C
0.500 0.000 0.000 C
0.500 0.500 0.000 C


Entry 11:
Tb3DyC8 PBE-GGA relaxed; SG = Cm; size of the total moment = 0.00 μB per formula unit; energy of formation = 63.8 meV per atom
1.0
3.831 -5.049 0.000
3.831 5.049 0.000
-3.377 0.000 4.774
Tb Dy C
3 1 8
Direct
0.000 0.000 0.000 Tb
0.323 0.817 0.483 Tb
0.817 0.323 0.483 Tb
0.501 0.501 0.957 Dy
0.094 0.094 0.673 C
0.131 0.131 0.484 C
0.441 0.441 0.328 C
0.454 0.895 0.161 C
0.567 0.919 0.014 C
0.638 0.638 0.542 C
0.895 0.454 0.161 C
0.919 0.567 0.014 C


Entry 12:
Tb2Dy4C PBE-GGA relaxed; SG = I4/mmm; size of the total moment = 0.00 μB per formula unit; energy of formation = 133.4 meV per atom
1.0
4.852 0.000 0.000
0.000 4.852 0.000
0.000 0.000 17.628
Tb Dy C
4 8 2
Direct
0.000 0.000 0.173 Tb
0.000 0.000 0.827 Tb
0.500 0.500 0.327 Tb
0.500 0.500 0.673 Tb
0.000 0.000 0.365 Dy
0.000 0.000 0.635 Dy
0.000 0.500 0.000 Dy
0.000 0.500 0.500 Dy
0.500 0.000 0.000 Dy
0.500 0.000 0.500 Dy
0.500 0.500 0.135 Dy
0.500 0.500 0.865 Dy
0.000 0.000 0.500 C
0.500 0.500 0.000 C